# 1
Hf3Ti5S2 after structural relaxation. Source: Alexandria via LeMat-Bulk, functional PBE.

Values from the calculation:
Space-group type: Ibam
Uncorrected formation energy (meV/atom): -234
Total magnetic moment (μB per formula unit): 0.00
Crystal system: orthorhombic

a = 5.5754 Å, b = 8.8765 Å, c = 8.8765 Å
α = 67.53°, β = 71.70°, γ = 71.70°
Fractional coordinates of all 20 atoms:
Hf (0.2500, 0.0000, 0.0000)
Hf (0.7500, 0.0000, 0.0000)
Hf (0.3228, 0.4548, 0.8996)
Hf (0.6772, 0.5452, 0.1004)
Hf (0.8228, 0.8996, 0.4548)
Hf (0.1772, 0.1004, 0.5452)
Ti (0.2500, 0.5000, 0.5000)
Ti (0.7500, 0.5000, 0.5000)
Ti (0.4540, 0.7960, 0.7960)
Ti (0.0460, 0.2040, 0.2040)
Ti (0.5460, 0.2040, 0.2040)
Ti (0.9540, 0.7960, 0.7960)
Ti (0.1462, 0.4336, 0.2740)
Ti (0.8538, 0.5664, 0.7260)
Ti (0.6462, 0.2740, 0.4336)
Ti (0.3538, 0.7260, 0.5664)
S (0.1192, 0.7052, 0.0564)
S (0.8808, 0.2948, 0.9436)
S (0.6192, 0.0564, 0.7052)
S (0.3808, 0.9436, 0.2948)


# 2
BeRuCl2 after structural relaxation. Source: Alexandria via LeMat-Bulk, functional PBE.

Values from the calculation:
Space-group type: R-3m
Uncorrected formation energy (meV/atom): 16
Total magnetic moment (μB per formula unit): 0.00
Crystal system: trigonal

a = 7.4141 Å, b = 7.4141 Å, c = 7.4141 Å
α = 23.98°, β = 23.98°, γ = 23.98°
Fractional coordinates of all 4 atoms:
Ru (0.0000, 0.0000, 0.0000)
Be (0.5000, 0.5000, 0.5000)
Cl (0.8929, 0.8929, 0.8929)
Cl (0.1071, 0.1071, 0.1071)


# 3
TiInPt after structural relaxation. Source: Alexandria via LeMat-Bulk, functional PBE.

Values from the calculation:
Energy of formation (eV/f.u.): -1.4
Space-group type: P3m1
Total magnetic moment (μB per formula unit): 0.00
Crystal system: trigonal

a = 2.8792 Å, b = 4.6096 Å, c = 4.6096 Å
α = 120.00°, β = 90.00°, γ = 90.00°
Fractional coordinates of all 3 atoms:
Ti (0.0003, 0.0000, 0.0000)
Pt (0.4983, 0.3333, 0.6667)
In (0.5014, 0.6667, 0.3333)


# 4
K2Cd5Ag3 after structural relaxation. Source: Alexandria via LeMat-Bulk, functional PBE.

Values from the calculation:
Energy of formation (eV/f.u.): -0.4
Space-group type: C2/c
Total magnetic moment (μB per formula unit): 0.00
Crystal system: monoclinic

a = 6.5724 Å, b = 9.6950 Å, c = 9.6950 Å
α = 86.10°, β = 70.50°, γ = 70.50°
Fractional coordinates of all 20 atoms:
K (0.2647, 0.8667, 0.6043)
K (0.2353, 0.3957, 0.1333)
K (0.7353, 0.1333, 0.3957)
K (0.7647, 0.6043, 0.8667)
Cd (0.3495, 0.0428, 0.2586)
Cd (0.1505, 0.7414, 0.9572)
Cd (0.6505, 0.9572, 0.7414)
Cd (0.8495, 0.2586, 0.0428)
Cd (0.2500, 0.2328, 0.7672)
Cd (0.7500, 0.7672, 0.2328)
Cd (0.2500, 0.5006, 0.4994)
Cd (0.7500, 0.4994, 0.5006)
Cd (0.2500, 0.7659, 0.2341)
Cd (0.7500, 0.2341, 0.7659)
Ag (0.1266, 0.2411, 0.5046)
Ag (0.3734, 0.4954, 0.7589)
Ag (0.8734, 0.7589, 0.4954)
Ag (0.6266, 0.5046, 0.2411)
Ag (0.2500, 0.0008, 0.9992)
Ag (0.7500, 0.9992, 0.0008)


# 5
ScNiHW2 after structural relaxation. Source: Alexandria via LeMat-Bulk, functional PBE.

Values from the calculation:
Space-group type: P4/mmm
Total energy (eV per atom): -7.276
Total magnetic moment (μB per formula unit): 0.00
Crystal system: tetragonal

a = 5.1145 Å, b = 2.8004 Å, c = 5.1145 Å
α = 90.00°, β = 90.00°, γ = 90.00°
Fractional coordinates of all 5 atoms:
Sc (0.5000, 0.5000, 0.5000)
Ni (0.0000, 0.0000, 0.0000)
W (0.0000, 0.0000, 0.5000)
W (0.5000, 0.0000, 0.0000)
H (0.0000, 0.5000, 0.0000)


# 6
La2CrBr after structural relaxation. Source: Alexandria via LeMat-Bulk, functional PBE.

Values from the calculation:
Space-group type: Cm
Uncorrected formation energy (meV/atom): -284
Total magnetic moment (μB per formula unit): 3.21
Crystal system: monoclinic

a = 6.2078 Å, b = 6.2078 Å, c = 5.1207 Å
α = 89.83°, β = 89.83°, γ = 34.32°
Each line ends with the local moment (μB).
Fractional coordinates of all 4 atoms:
Br (0.5145, 0.5145, 0.3736)  0.01
Cr (0.7411, 0.7411, 0.8764)  3.41
La (0.9915, 0.9915, 0.8739)  -0.14
La (0.2529, 0.2529, 0.3762)  -0.09


# 7
AcDyS3 after structural relaxation. Source: Alexandria via LeMat-Bulk, functional PBE.

Values from the calculation:
Space-group type: Pmmn
Uncorrected formation energy (meV/atom): -2114
Total magnetic moment (μB per formula unit): 0.00
Crystal system: orthorhombic

a = 4.1463 Å, b = 6.7610 Å, c = 8.9435 Å
α = 90.00°, β = 90.00°, γ = 90.00°
Fractional coordinates of all 10 atoms:
Ac (0.7500, 0.2500, 0.1489)
Ac (0.2500, 0.7500, 0.8511)
Dy (0.7500, 0.7500, 0.4026)
Dy (0.2500, 0.2500, 0.5974)
S (0.7500, 0.7500, 0.0800)
S (0.2500, 0.2500, 0.9200)
S (0.7500, 0.9863, 0.6582)
S (0.7500, 0.5137, 0.6582)
S (0.2500, 0.0137, 0.3418)
S (0.2500, 0.4863, 0.3418)


# 8
Ca2FeRe after structural relaxation. Source: Alexandria via LeMat-Bulk, functional PBE.

Values from the calculation:
Energy of formation (eV/f.u.): 2.0
Space-group type: Imm2
Total magnetic moment (μB per formula unit): 0.00
Crystal system: orthorhombic

a = 5.8222 Å, b = 5.8222 Å, c = 5.8222 Å
α = 143.76°, β = 128.72°, γ = 64.40°
Fractional coordinates of all 4 atoms:
Re (0.3135, 0.8135, 0.5000)
Ca (0.0125, 0.0125, 0.0000)
Ca (0.7286, 0.2286, 0.5000)
Fe (0.4454, 0.4454, 0.0000)


The highest total magnetic moment belongs to which entry?
La2CrBr


Among the records above, which one has the highest total magnetic moment?
La2CrBr


Among the records above, which one has the highest total magnetic moment?
La2CrBr